1.
A geometry-optimized DySc2Bi structure, computed with PBE.

- Space-group type: R3m
- Calculated formation energy: -0.13 eV per atom

```
DySc2Bi
1.0
3.5196 0.0000 0.0000
1.7598 3.0481 0.0000
1.7598 1.0160 10.2222
Dy Sc Bi
1 2 1
Cartesian
3.5196 2.0321 5.1148
1.7598 1.0160 7.7698
1.7598 1.0160 2.4453
3.5196 2.0321 0.0034
```

---

2.
A geometry-optimized Dy3ScBi4 structure, computed with PBE.

- Space-group type: Pm-3m
- Calculated formation energy: -0.80 eV per atom

```
Dy3ScBi4
1.0
-2.2018 0.2725 -5.8588
-5.8649 -0.0477 2.2019
0.0512 6.2587 0.2719
Sc Bi Dy
1 4 3
Cartesian
0.0000 0.0000 0.0000
-1.1009 0.1363 -2.9294
-2.9325 -0.0239 1.1010
0.0256 3.1294 0.1359
-4.0078 3.2418 -1.6925
-2.9069 3.1055 1.2369
-1.0753 3.2656 -2.7935
-4.0334 0.1124 -1.8284
```

---

3.
A geometry-optimized DyScBi structure, computed with PBE.

- Space-group type: P4/nmm
- Calculated formation energy: -0.62 eV per atom

```
DyScBi
1.0
-3.5090 -0.2289 -2.6810
2.3193 -2.4910 -2.8230
-2.5764 -6.8869 3.9601
Dy Sc Bi
2 2 2
Cartesian
-1.0164 -7.0623 1.9333
-2.1548 -1.1845 -0.7252
-1.8830 -4.8034 -0.7720
-1.2882 -3.4434 1.9800
0.5665 -2.8311 -0.4997
-3.7377 -5.4157 1.7078
```

---

4.
A geometry-optimized Dy5Sc2Bi4 structure, computed with PBE.

- Space-group type: C2/m
- Calculated formation energy: -0.42 eV per atom

```
Dy5Sc2Bi4
1.0
4.2678 0.0000 0.0000
0.0000 7.5750 -0.9712
-2.1339 -3.4546 10.8759
Dy Sc Bi
5 2 4
Cartesian
0.0000 5.6220 2.9208
2.1339 -1.5017 6.9839
0.0000 1.5204 2.7504
2.1339 0.0000 0.0000
2.1339 2.5999 7.1543
2.1339 3.5592 1.0832
0.0000 0.5611 8.8215
2.1339 3.6008 4.0925
0.0000 5.4806 -0.1917
0.0000 0.5195 5.8122
2.1339 -1.3603 10.0964
```

---

5.
A geometry-optimized DyScBi2 structure, computed with PBE.

- Space-group type: Pmmn
- Calculated formation energy: -0.75 eV per atom

```
DyScBi2
1.0
-3.0193 -2.5615 1.8448
3.9911 -4.7544 -0.0694
2.8832 2.3047 7.9190
Dy Sc Bi
2 2 4
Cartesian
4.5128 -0.3651 6.8791
-1.1437 -0.9882 1.9276
0.2913 0.1589 5.8690
3.0778 -1.5121 2.9377
2.4945 1.9940 6.8514
1.1140 0.8905 3.0596
2.2552 -2.2437 5.7471
0.8746 -3.3472 1.9553
```

---

6.
A geometry-optimized Dy4ScBi2 structure, computed with PBE.

- Space-group type: I4/mmm
- Calculated formation energy: 0.15 eV per atom

```
Dy4ScBi2
1.0
5.1725 0.0000 0.0000
0.0000 5.1725 0.0000
-2.5863 -2.5863 8.3770
Dy Sc Bi
4 1 2
Cartesian
2.5863 2.5863 5.3806
0.0000 0.0000 2.9964
0.0000 2.5863 0.0000
2.5863 0.0000 0.0000
0.0000 0.0000 0.0000
2.5863 2.5863 2.2918
0.0000 0.0000 6.0852
```

---

7.
A geometry-optimized DyScBi structure, computed with PBE.

- Space-group type: I4mm
- Calculated formation energy: -0.42 eV per atom

```
DyScBi
1.0
3.9334 0.0000 0.0000
0.0000 3.9334 0.0000
-1.9667 -1.9667 5.2610
Sc Bi Dy
1 1 1
Cartesian
1.9667 1.9667 4.8775
1.9667 1.9667 1.1165
0.0000 0.0000 2.9496
```

---

8.
A geometry-optimized DyScBi structure, computed with PBE.

- Space-group type: R-3m
- Calculated formation energy: -0.30 eV per atom

```
DyScBi
1.0
5.3252 0.0000 0.0000
2.6626 4.6117 0.0000
2.6626 1.5372 7.5880
Dy Bi Sc
2 2 2
Cartesian
5.3252 3.0745 5.4902
5.3252 3.0745 2.0978
2.6626 1.5372 1.2057
7.9878 4.6117 6.3823
2.6626 1.5372 4.1258
7.9878 4.6117 3.4622
```

---

Number 1: total moment 0.1 Bohr magnetons per cell. Number 2: total moment 0.0 Bohr magnetons per cell. Number 3: total moment 0.6 Bohr magnetons per cell. Number 4: total moment 0.0 Bohr magnetons per cell. Number 5: total moment 0.0 Bohr magnetons per cell. Number 6: total moment 0.0 Bohr magnetons per cell. Number 7: total moment 1.0 Bohr magnetons per cell. Number 8: total moment 0.0 Bohr magnetons per cell.